Computed, not measured: Mn2SiPbF after structural relaxation at the PBE with a Hubbard U level of DFT.

Cell lengths 4.505, 5.160, 4.505 Å; angles 90.00, 90.00, 90.00 degrees
Each line ends with the local moment (μB).
Fractional positions:
1 Pb 0.000 0.500 0.000  -0.03
2 F 0.000 0.000 0.000  0.08
3 Mn 0.500 0.000 0.000  4.58
4 Mn 0.000 0.000 0.500  4.62
5 Si 0.500 0.500 0.500  0.00

Computed properties:
* total magnetization: 9.694 μB/f.u.
* final energy: -25.88 eV/cell
* DOS at the Fermi energy: 0.470 states/eV per atom